Compound: Mg2SbMoF
Source: Alexandria
Functional: PBE+U
Structure: optimized geometry

a b c (Å): 5.5500 5.5500 5.1272
angles (deg): 90.00 90.00 90.00
Positions (direct):
Mg 0.0000 0.5000 0.0000
Mg 0.5000 0.0000 0.0000
Sb 0.0000 0.0000 0.5000
Mo 0.0000 0.0000 0.0000
F 0.5000 0.5000 0.5000

Properties
DOS at the Fermi energy: 1.622 states/eV/f.u.
calculated total energy: -2.959 eV per atom